Record 1
Crystalline Ac6Nd4Sm at its relaxed geometry, computed with PBE.

a = 11.405 Å, b = 11.405 Å, c = 11.405 Å
α = 50.06°, β = 145.18°, γ = 145.18°
Atoms (fractional coordinates):
Ac1 0.000 0.888 0.490
Ac2 0.000 0.490 0.888
Ac3 0.398 0.510 0.510
Ac4 0.500 0.500 0.000
Ac5 0.602 0.112 0.112
Ac6 0.500 0.000 0.500
Nd1 0.000 0.673 0.057
Nd2 0.384 0.327 0.327
Nd3 0.000 0.057 0.673
Nd4 0.616 0.943 0.943
Sm1 0.000 0.000 0.000

Density of states at the Fermi level ... 1.67 states/eV per atom
Calculated density ... 7208 kg/m3
Uncorrected energy ... -4.099 eV/atom
Spin magnetization ... 0.00 Bohr magnetons per cell
Space-group type ... No. 121
ΔE_f ... 305 meV/atom


Record 2
Crystalline AcNd3Sm5 at its relaxed geometry, computed with PBE.

a = 10.092 Å, b = 12.412 Å, c = 7.165 Å
α = 125.22°, β = 90.00°, γ = 113.99°
Atoms (fractional coordinates):
Ac1 0.658 0.000 0.750
Ac2 0.342 0.000 0.250
Nd1 0.000 0.000 0.000
Nd2 0.672 0.343 0.343
Nd3 0.000 0.000 0.500
Nd4 0.328 0.657 0.657
Nd5 0.671 0.343 0.843
Nd6 0.329 0.657 0.157
Sm1 0.317 0.000 0.750
Sm2 0.662 0.664 0.914
Sm3 0.007 0.337 0.087
Sm4 0.338 0.336 0.086
Sm5 0.669 0.663 0.413
Sm6 0.683 0.000 0.250
Sm7 0.002 0.664 0.414
Sm8 0.998 0.336 0.586
Sm9 0.331 0.337 0.587
Sm10 0.993 0.663 0.913

Polymorph energy (0 for the lowest one) ... 0.000 eV per atom
Density of states at the Fermi level ... 1.40 states/eV per atom
Calculated density ... 7372 kg/m3
Uncorrected energy ... -4.596 eV/atom
Spin magnetization ... 0.00 Bohr magnetons per cell
Space-group type ... No. 63
ΔE_f ... 72 meV/atom


Record 3
Crystalline AcNd4Sm2 at its relaxed geometry, computed with PBE.

a = 4.670 Å, b = 4.670 Å, c = 12.393 Å
α = 100.86°, β = 100.86°, γ = 90.00°
Atoms (fractional coordinates):
Ac1 0.000 0.000 0.000
Nd1 0.142 0.142 0.284
Nd2 0.858 0.858 0.716
Nd3 0.750 0.250 0.500
Nd4 0.250 0.750 0.500
Sm1 0.605 0.605 0.209
Sm2 0.395 0.395 0.791

Polymorph energy (0 for the lowest one) ... 0.008 eV per atom
Density of states at the Fermi level ... 1.46 states/eV per atom
Calculated density ... 7040 kg/m3
Uncorrected energy ... -4.437 eV/atom
Spin magnetization ... 0.00 Bohr magnetons per cell
Space-group type ... No. 139
ΔE_f ... 223 meV/atom


Record 4
Crystalline AcNd2Sm7 at its relaxed geometry, computed with PBE.

a = 5.712 Å, b = 9.312 Å, c = 9.312 Å
α = 122.94°, β = 90.00°, γ = 90.00°
Atoms (fractional coordinates):
Ac1 0.000 0.000 0.000
Nd1 0.500 0.702 0.298
Nd2 0.500 0.298 0.702
Sm1 0.000 0.769 0.231
Sm2 0.000 0.231 0.769
Sm3 0.500 0.062 0.297
Sm4 0.500 0.938 0.703
Sm5 0.500 0.297 0.062
Sm6 0.500 0.703 0.938
Sm7 0.500 0.500 0.500

Polymorph energy (0 for the lowest one) ... 0.229 eV per atom
Density of states at the Fermi level ... 1.31 states/eV per atom
Calculated density ... 6264 kg/m3
Uncorrected energy ... -4.049 eV/atom
Spin magnetization ... 0.00 Bohr magnetons per cell
Space-group type ... No. 65
ΔE_f ... 619 meV/atom


Record 5
Crystalline Ac2Nd5Sm3 at its relaxed geometry, computed with PBE.

a = 11.158 Å, b = 10.623 Å, c = 11.782 Å
α = 132.29°, β = 133.23°, γ = 62.04°
Atoms (fractional coordinates):
Ac1 0.794 0.009 0.748
Ac2 0.206 0.991 0.252
Ac3 0.454 0.740 0.748
Ac4 0.546 0.260 0.252
Nd1 0.260 0.510 0.019
Nd2 0.740 0.490 0.981
Nd3 0.000 0.750 0.500
Nd4 0.521 0.271 0.543
Nd5 0.000 0.250 0.500
Nd6 0.479 0.729 0.457
Nd7 0.845 0.601 0.760
Nd8 0.155 0.399 0.240
Nd9 0.415 0.159 0.760
Nd10 0.585 0.841 0.240
Sm1 0.232 0.982 0.963
Sm2 0.768 0.018 0.037
Sm3 0.722 0.466 0.253
Sm4 0.278 0.534 0.747
Sm5 0.031 0.788 0.253
Sm6 0.969 0.212 0.747

Density of states at the Fermi level ... 1.60 states/eV per atom
Calculated density ... 7175 kg/m3
Uncorrected energy ... -4.426 eV/atom
Spin magnetization ... 0.00 Bohr magnetons per cell
Space-group type ... No. 15
ΔE_f ... 196 meV/atom


Record 6
Crystalline Ac2Nd2Sm3 at its relaxed geometry, computed with PBE.

a = 3.617 Å, b = 5.884 Å, c = 12.615 Å
α = 76.58°, β = 90.00°, γ = 90.00°
Atoms (fractional coordinates):
Ac1 0.000 0.577 0.845
Ac2 0.000 0.423 0.155
Nd1 0.500 0.853 0.295
Nd2 0.500 0.147 0.705
Sm1 0.000 0.281 0.438
Sm2 0.000 0.000 0.000
Sm3 0.000 0.719 0.562

Polymorph energy (0 for the lowest one) ... 0.038 eV per atom
Density of states at the Fermi level ... 1.56 states/eV per atom
Calculated density ... 7588 kg/m3
Uncorrected energy ... -4.414 eV/atom
Spin magnetization ... 0.00 Bohr magnetons per cell
Space-group type ... No. 10
ΔE_f ... 144 meV/atom


Record 7
Crystalline Ac12NdSm7 at its relaxed geometry, computed with PBE.

a = 6.668 Å, b = 12.233 Å, c = 12.233 Å
α = 116.77°, β = 100.47°, γ = 100.47°
Atoms (fractional coordinates):
Ac1 0.088 0.587 0.175
Ac2 0.087 0.175 0.588
Ac3 0.567 0.654 0.001
Ac4 0.434 0.001 0.347
Ac5 0.499 0.412 0.587
Ac6 0.087 0.653 0.654
Ac7 0.913 0.347 0.346
Ac8 0.501 0.588 0.413
Ac9 0.566 0.999 0.653
Ac10 0.433 0.346 0.999
Ac11 0.913 0.825 0.412
Ac12 0.912 0.413 0.825
Nd1 0.000 0.000 0.000
Sm1 0.108 0.757 0.001
Sm2 0.893 0.001 0.244
Sm3 0.649 0.756 0.757
Sm4 0.500 0.000 0.000
Sm5 0.351 0.244 0.243
Sm6 0.107 0.999 0.756
Sm7 0.892 0.243 0.999

Density of states at the Fermi level ... 1.46 states/eV per atom
Calculated density ... 7792 kg/m3
Uncorrected energy ... -4.152 eV/atom
Spin magnetization ... 0.00 Bohr magnetons per cell
Space-group type ... No. 148
ΔE_f ... 203 meV/atom


Record 8
Crystalline Ac3NdSm2 at its relaxed geometry, computed with PBE.

a = 7.619 Å, b = 6.646 Å, c = 12.676 Å
α = 110.58°, β = 90.00°, γ = 124.97°
Atoms (fractional coordinates):
Ac1 0.375 0.000 0.750
Ac2 0.625 0.000 0.250
Ac3 0.958 0.667 0.917
Ac4 0.292 0.333 0.583
Ac5 0.708 0.667 0.417
Ac6 0.042 0.333 0.083
Nd1 0.125 0.000 0.250
Nd2 0.875 0.000 0.750
Sm1 0.209 0.667 0.417
Sm2 0.458 0.667 0.917
Sm3 0.542 0.333 0.083
Sm4 0.791 0.333 0.583

Density of states at the Fermi level ... 1.93 states/eV per atom
Calculated density ... 7870 kg/m3
Uncorrected energy ... -4.371 eV/atom
Spin magnetization ... 0.00 Bohr magnetons per cell
Space-group type ... No. 15
ΔE_f ... 51 meV/atom